This record from Alexandria via LeMat-Bulk describes crystalline SrSi2Cl at its relaxed geometry. The functional is PBE.

Structure (POSCAR):
```
SrSi2Cl
1.0
-3.874 1.013 -5.250
-6.051 -0.695 -2.548
-1.412 3.975 1.376
Cl Si Sr
1 2 1
Cartesian
-2.834 1.073 -1.606
-1.341 3.526 1.149
-5.740 2.596 -2.985
-8.503 3.220 -4.817
```

Results
The size of the total moment comes out at 0.0 Bohr magnetons per cell. The value obtained for the distance to the lowest polymorph of the same formula is 256 meV/atom. As for the uncorrected formation energy: -206 kJ/mol of formula units.